# 1
{
  "formula": "CaNiMo2",
  "functional": "PBE-GGA",
  "state": "optimized geometry",
  "lattice": [[5.5133, 0.0082, 0.0000], [-3.0438, 4.5969, 0.0000], [0.0000, 0.0000, 2.6649]],
  "species": ["Ca", "Ni", "Mo", "Mo"],
  "frac_coords": [[0.0000, 0.5000, 0.5000], [0.5000, 0.0000, 0.5000], [0.5000, 0.5000, 0.0000], [0.0000, 0.0000, 0.0000]],
  "formation_energy_mev_per_atom": 661,
  "space_group": "Cmmm, No. 65",
  "e_above_lowest_polymorph_mev_per_atom": 337.4
}


# 2
{
  "formula": "Sm2YBi",
  "functional": "PBE-GGA",
  "state": "optimized geometry",
  "lattice": [[-1.9581, -3.4873, 0.8688], [1.3566, -2.4122, 3.0152], [-5.8865, 2.8169, 7.6796]],
  "species": ["Sm", "Sm", "Bi", "Y"],
  "frac_coords": [[0.2633, 0.2633, 0.2100], [0.7367, 0.7367, 0.7900], [0.0000, 0.0000, 0.0000], [0.5000, 0.5000, 0.5000]],
  "formation_energy_mev_per_atom": -160,
  "space_group": "R-3m, No. 166",
  "e_above_lowest_polymorph_mev_per_atom": 268.5
}


# 3
{
  "formula": "SrTaHg2Sb",
  "functional": "PBE-GGA",
  "state": "optimized geometry",
  "lattice": [[5.7009, 0.0000, 0.0000], [0.0000, 6.0689, 0.0000], [0.0000, 0.0000, 5.7009]],
  "species": ["Sr", "Hg", "Hg", "Ta", "Sb"],
  "frac_coords": [[0.0000, 0.0000, 0.0000], [0.0000, 0.0000, 0.5000], [0.5000, 0.0000, 0.0000], [0.0000, 0.5000, 0.0000], [0.5000, 0.5000, 0.5000]],
  "total_energy_ev_per_fu": -10.4,
  "space_group": "P4/mmm, No. 123"
}


# 4
{
  "formula": "Pm6Dy3Th",
  "functional": "PBE-GGA",
  "state": "optimized geometry",
  "lattice": [[-3.2993, 0.9270, 0.9375], [0.4200, -8.6594, 10.0404], [5.1903, 11.8831, 6.5169]],
  "species": ["Pm", "Pm", "Pm", "Pm", "Pm", "Pm", "Pm", "Dy", "Th", "Dy", "Pm", "Pm", "Th", "Dy", "Pm", "Dy", "Pm", "Dy", "Dy", "Pm"],
  "frac_coords": [[0.2500, 0.6550, 0.8803], [0.2500, 0.2205, 0.2875], [0.7500, 0.1223, 0.4845], [0.2500, 0.2710, 0.7019], [0.2500, 0.8777, 0.5155], [0.7500, 0.3450, 0.1197], [0.7500, 0.7795, 0.7125], [0.7500, 0.0735, 0.1002], [0.2500, 0.9638, 0.2772], [0.2500, 0.9265, 0.8998], [0.7500, 0.8107, 0.0799], [0.7500, 0.5003, 0.6901], [0.7500, 0.0362, 0.7228], [0.7500, 0.4225, 0.9039], [0.2500, 0.4997, 0.3099], [0.2500, 0.3757, 0.4984], [0.2500, 0.1893, 0.9201], [0.2500, 0.5775, 0.0961], [0.7500, 0.6243, 0.5016], [0.7500, 0.7290, 0.2981]],
  "formation_energy_mev_per_atom": 81,
  "space_group": "P2_1/m, No. 11",
  "e_above_lowest_polymorph_mev_per_atom": 59.3
}


# 5
{
  "formula": "BaHg2Se2",
  "functional": "PBE-GGA",
  "state": "optimized geometry",
  "lattice": [[8.3649, 0.0000, 0.0000], [0.0000, 8.3649, 0.0000], [0.0000, 0.0000, 4.2002]],
  "species": ["Hg", "Hg", "Ba", "Se", "Hg", "Se", "Se", "Ba", "Hg", "Se"],
  "frac_coords": [[0.3613, 0.1387, 0.5000], [0.6387, 0.8613, 0.5000], [0.5000, 0.5000, 0.0000], [0.8453, 0.6547, 0.0000], [0.8613, 0.3613, 0.5000], [0.1547, 0.3453, 0.0000], [0.6547, 0.1547, 0.0000], [0.0000, 0.0000, 0.0000], [0.1387, 0.6387, 0.5000], [0.3453, 0.8453, 0.0000]],
  "space_group": "P4/mbm, No. 127",
  "e_above_lowest_polymorph_mev_per_atom": 259.8
}


# 6
{
  "formula": "CeZr2B2Ru5",
  "functional": "PBE-GGA",
  "state": "optimized geometry",
  "lattice": [[-0.2779, 0.3675, -3.1261], [3.1449, -9.0451, -1.3429], [-9.1046, -3.2294, 0.4297]],
  "species": ["Zr", "Ru", "B", "Ru", "B", "Ru", "Ru", "Ce", "Ru", "Zr", "Zr", "Ru", "Ru", "B", "Ce", "B", "Ru", "Zr", "Ru", "Ru"],
  "frac_coords": [[0.0000, 0.8281, 0.6719], [0.5000, 0.0738, 0.7769], [0.0000, 0.6214, 0.8786], [0.5000, 0.0000, 0.5000], [0.0000, 0.3786, 0.1214], [0.5000, 0.7769, 0.9262], [0.5000, 0.5738, 0.7231], [0.0000, 0.0000, 0.0000], [0.5000, 0.9262, 0.2231], [0.0000, 0.1719, 0.3281], [0.0000, 0.6719, 0.1719], [0.5000, 0.5000, 0.0000], [0.5000, 0.2231, 0.0738], [0.0000, 0.1214, 0.6214], [0.0000, 0.5000, 0.5000], [0.0000, 0.8786, 0.3786], [0.5000, 0.7231, 0.4262], [0.0000, 0.3281, 0.8281], [0.5000, 0.4262, 0.2769], [0.5000, 0.2769, 0.5738]],
  "formation_energy_mev_per_atom": -513,
  "space_group": "P4/mbm, No. 127"
}


# 7
{
  "formula": "DyGaPt3",
  "functional": "PBE-GGA",
  "state": "optimized geometry",
  "lattice": [[5.1176, 0.0000, 0.0000], [0.0000, 6.0158, 0.0000], [0.0000, 0.0000, 6.5607]],
  "species": ["Ga", "Pt", "Pt", "Dy", "Pt", "Pt", "Ga", "Dy", "Pt", "Pt"],
  "frac_coords": [[0.0000, 0.0000, 0.5000], [0.0000, 0.6390, 0.3423], [0.0000, 0.3610, 0.6577], [0.5000, 0.0000, 0.0000], [0.0000, 0.1390, 0.1577], [0.5000, 0.5000, 0.0000], [0.0000, 0.5000, 0.0000], [0.5000, 0.5000, 0.5000], [0.0000, 0.8610, 0.8423], [0.5000, 0.0000, 0.5000]],
  "formation_energy_mev_per_atom": -618,
  "space_group": "Pbam, No. 55",
  "e_above_lowest_polymorph_mev_per_atom": 273.8
}


# 8
{
  "formula": "PRh2Se",
  "functional": "PBE-GGA",
  "state": "optimized geometry",
  "lattice": [[-1.6570, 1.5497, 6.2461], [1.6570, -1.5497, 6.2461], [1.6570, 1.5497, -6.2461]],
  "species": ["Rh", "Rh", "Se", "P"],
  "frac_coords": [[0.2319, 0.7319, 0.5000], [0.9262, 0.9262, 0.0000], [0.5451, 0.5451, 0.0000], [0.7968, 0.2968, 0.5000]],
  "total_energy_ev_per_fu": -24.9,
  "space_group": "Imm2, No. 44"
}


# 9
{
  "formula": "CuRe2Pb",
  "functional": "PBE-GGA",
  "state": "optimized geometry",
  "lattice": [[-2.9919, 0.4290, 3.2135], [-1.7244, -3.9135, -1.0830], [2.0893, -1.5148, 2.1474]],
  "species": ["Re", "Cu", "Re", "Pb"],
  "frac_coords": [[0.0000, 0.0000, 0.0000], [0.5000, 0.0000, 0.5000], [0.5000, 0.5000, 0.0000], [0.0000, 0.5000, 0.5000]],
  "formation_energy_mev_per_atom": 1133,
  "space_group": "P4/mmm, No. 123",
  "e_above_lowest_polymorph_mev_per_atom": 651.3
}


# 10
{
  "formula": "La2TlCdIr",
  "functional": "PBE-GGA",
  "state": "optimized geometry",
  "lattice": [[-2.7172, -2.1538, 2.3341], [6.3777, -2.5857, 5.0383], [-3.3325, 7.2687, 2.8279]],
  "species": ["La", "Cd", "Ir", "Ir", "Tl", "Tl", "La", "Cd", "La", "La"],
  "frac_coords": [[0.7500, 0.8939, 0.6653], [0.7500, 0.4405, 0.3533], [0.7500, 0.1165, 0.1058], [0.2500, 0.8835, 0.8942], [0.2500, 0.6935, 0.3170], [0.7500, 0.3065, 0.6830], [0.2500, 0.1061, 0.3347], [0.2500, 0.5595, 0.6467], [0.7500, 0.7194, 0.0075], [0.2500, 0.2806, 0.9925]],
  "formation_energy_mev_per_atom": -535,
  "space_group": "P2_1/m, No. 11",
  "e_above_lowest_polymorph_mev_per_atom": 0.0
}


# 11
{
  "formula": "CaMg2CoS",
  "functional": "PBE-GGA",
  "state": "optimized geometry",
  "lattice": [[4.8169, 0.0000, 0.0000], [0.0000, 5.2186, 0.0000], [0.0000, 0.0000, 4.8169]],
  "species": ["Ca", "Mg", "S", "Mg", "Co"],
  "frac_coords": [[0.0000, 0.5000, 0.0000], [0.0000, 0.0000, 0.5000], [0.0000, 0.0000, 0.0000], [0.5000, 0.0000, 0.0000], [0.5000, 0.5000, 0.5000]],
  "total_energy_ev_per_fu": -16.2,
  "space_group": "P4/mmm, No. 123"
}


# 12
{
  "formula": "HfNi2Au",
  "functional": "PBE-GGA",
  "state": "optimized geometry",
  "lattice": [[-0.7832, 3.9330, -4.1086], [-0.2127, -5.7348, -0.1690], [-1.9266, -3.1383, 4.4047]],
  "species": ["Au", "Ni", "Ni", "Hf"],
  "frac_coords": [[0.0000, 0.5000, 0.5000], [0.0000, 0.2454, 0.2454], [0.0000, 0.7546, 0.7546], [0.0000, 0.0000, 0.0000]],
  "formation_energy_mev_per_atom": 316,
  "space_group": "Immm, No. 71"
}


# 13
{
  "formula": "Pr3Ag5",
  "functional": "PBE-GGA",
  "state": "optimized geometry",
  "lattice": [[-4.3273, 0.3440, 4.4502], [-5.5323, -5.5836, -0.6056], [2.7828, -5.2965, 7.4577]],
  "species": ["Pr", "Ag", "Pr", "Pr", "Ag", "Ag", "Ag", "Pr", "Ag", "Ag", "Pr", "Ag", "Pr", "Ag", "Ag", "Ag"],
  "frac_coords": [[0.3051, 0.3898, 0.0000], [0.1061, 0.6013, 0.3830], [0.2915, 0.8764, 0.1624], [0.9197, 0.3764, 0.6624], [0.0014, 0.9971, 0.5000], [0.4276, 0.7204, 0.8306], [0.5082, 0.2204, 0.6694], [0.5551, 0.8898, 0.5000], [0.7514, 0.4971, 0.0000], [0.7392, 0.1013, 0.1170], [0.7039, 0.3764, 0.3376], [0.2713, 0.2204, 0.3306], [0.8321, 0.8764, 0.8376], [0.1596, 0.1013, 0.8830], [0.8520, 0.7204, 0.1694], [0.2926, 0.6013, 0.6170]],
  "formation_energy_mev_per_atom": -211,
  "space_group": "Fdd2, No. 43"
}